Entry 1:
An optimized crystal structure of CaCoCl2, computed with GGA-PBE.

Cell: 4.016 6.132 6.132 Å, 35.58 90.00 90.00°
Positions (direct):
Ca  0.000  0.000  0.000
Co  0.500  0.388  0.388
Cl  0.000  0.317  0.317
Cl  0.500  0.589  0.589

SG: Amm2, No. 38
Formation energy (no corrections), eV per atom: -0.928
Total magnetization, μB per cell: 1.0
Relative energy among the computed polymorphs, kJ/mol of atoms: 0.0

Entry 2:
An optimized crystal structure of CaBeHg3, computed with GGA-PBE.

Cell: 4.864 4.864 4.864 Å, 90.00 90.00 90.00°
Positions (direct):
Ca  0.000  0.000  0.000
Be  0.500  0.500  0.500
Hg  0.000  0.500  0.500
Hg  0.500  0.000  0.500
Hg  0.500  0.500  0.000

SG: Pm-3m, No. 221
Total magnetization, μB per cell: 0.0
Energy of formation from the pure elements, eV per formula unit: -0.55
Relative energy among the computed polymorphs, kJ/mol of atoms: 0.0

Entry 3:
An optimized crystal structure of CaTl2Ru, computed with GGA-PBE.

Cell: 5.203 5.203 5.203 Å, 126.83 126.83 78.53°
Positions (direct):
Ca  0.000  0.000  0.000
Tl  0.250  0.750  0.500
Tl  0.750  0.250  0.500
Ru  0.500  0.500  0.000

SG: I4/mmm, No. 139
Total magnetization, μB per cell: 0.0
Energy of formation from the pure elements, eV per formula unit: 0.56